# Ca8Pd3Au2

A relaxed Ca8Pd3Au2 crystal (GGA-PBE, Alexandria).

Formation enthalpy at 0 K ... -0.600 eV per atom
Symmetry ... P2/m (10)
Volume ... 364.6 Å³ per cell
Total magnetization ... 0.0 μB/cell

Unit cell a=5.0325 b=10.0913 c=8.7915 alpha=125.25 beta=90.00 gamma=90.00
Positions (direct):
Pd 0.5000 0.0000 0.0000
Pd 0.0000 0.7518 0.0001
Ca 0.0000 0.8785 0.7580
Au 0.5000 0.2504 0.5009
Ca 0.0000 0.6213 0.2420
Ca 0.5000 0.6302 0.7580
Ca 0.5000 0.8725 0.2418
Ca 0.5000 0.3698 0.2420
Ca 0.0000 0.1215 0.2420
Pd 0.0000 0.2482 0.9999
Ca 0.5000 0.1275 0.7582
Au 0.5000 0.7496 0.4991
Ca 0.0000 0.3787 0.7580